34
Lattice="5.226 0.000 0.000 2.578 4.837 0.000 2.562 -0.671 17.228" Properties=species:S:1:pos:R:3 comment="LiV4OF11 | Alexandria via LeMat-Bulk | PBE+U | optimized geometry" polymorph_energy_mev_per_atom=16 dft_energy_ha_per_atom=-0.22552 pbc="T T T"
Li 0.000 0.000 0.000
Li 5.245 3.890 10.726
V 2.510 -0.253 14.168
V 2.576 2.593 5.526
V 5.057 1.351 16.394
V 5.184 4.304 7.663
V 5.117 4.034 1.236
V 5.306 1.177 9.881
V 5.218 0.891 3.394
V 7.705 2.817 11.956
O 1.903 0.607 0.176
O 6.639 2.240 10.570
F 4.144 4.689 2.854
F 4.167 3.593 6.108
F 4.101 1.762 11.369
F 4.120 0.719 14.755
F 5.611 3.035 15.288
F 3.156 1.059 6.648
F 4.626 2.814 8.825
F 3.489 2.977 0.598
F 6.068 3.967 12.519
F 3.591 1.837 3.986
F 3.605 0.105 9.313
F 6.775 3.321 7.078
F 4.278 0.205 1.742
F 6.806 0.393 15.850
F 5.753 2.463 2.367
F 7.171 1.365 13.210
F 7.227 4.148 4.451
F 8.555 4.361 10.941
F 6.215 1.583 4.981
F 8.793 2.608 16.987
F 8.762 3.598 13.535
F 6.238 0.454 8.279